# BiPtRhO6, optimized geometry, DFT PBE-GGA
# Uncorrected formation energy in meV per atom: -684
data_BiPtRhO6
_cell_length_a 4.7911
_cell_length_b 4.7911
_cell_length_c 9.8667
_cell_angle_alpha 90.00
_cell_angle_beta 90.00
_cell_angle_gamma 90.00
_space_group_name_H-M_alt 'P 1'
_space_group_IT_number 1
_space_group_name_Hall 'P 1'
loop_
_atom_site_label
_atom_site_type_symbol
_atom_site_fract_x
_atom_site_fract_y
_atom_site_fract_z
_atom_site_occupancy
Bi1 Bi 0.0000 0.0000 0.0000 1
Bi2 Bi 0.5000 0.5000 0.5000 1
Pt1 Pt 0.0000 0.0000 0.3327 1
Pt2 Pt 0.5000 0.5000 0.8327 1
Rh1 Rh 0.0000 0.0000 0.6688 1
Rh2 Rh 0.5000 0.5000 0.1688 1
O1 O 0.1750 0.1750 0.5009 1
O2 O 0.2002 0.2002 0.8245 1
O3 O 0.2021 0.2021 0.1770 1
O4 O 0.2979 0.7021 0.6770 1
O5 O 0.2998 0.7002 0.3245 1
O6 O 0.3250 0.6750 0.0009 1
O7 O 0.6750 0.3250 0.0009 1
O8 O 0.7002 0.2998 0.3245 1
O9 O 0.7021 0.2979 0.6770 1
O10 O 0.7979 0.7979 0.1770 1
O11 O 0.7998 0.7998 0.8245 1
O12 O 0.8250 0.8250 0.5009 1

---

# Bi2PtRhO6, optimized geometry, DFT PBE-GGA
# Uncorrected formation energy in meV per atom: -785
data_Bi2PtRhO6
_cell_length_a 5.5928
_cell_length_b 5.5945
_cell_length_c 5.7089
_cell_angle_alpha 119.17
_cell_angle_beta 116.82
_cell_angle_gamma 90.12
_space_group_name_H-M_alt 'P 1'
_space_group_IT_number 1
_space_group_name_Hall 'P 1'
loop_
_atom_site_label
_atom_site_type_symbol
_atom_site_fract_x
_atom_site_fract_y
_atom_site_fract_z
_atom_site_occupancy
Bi1 Bi 0.0000 0.0000 0.0000 1
Bi2 Bi 0.4995 0.4983 0.9988 1
Pt1 Pt 0.7239 0.2703 0.5391 1
Rh1 Rh 0.2198 0.7677 0.5381 1
O1 O 0.0730 0.5552 0.6809 1
O2 O 0.3756 0.0781 0.4996 1
O3 O 0.4151 0.0953 0.0182 1
O4 O 0.5695 0.6201 0.6753 1
O5 O 0.8751 0.9211 0.5021 1
O6 O 0.9380 0.4422 0.0619 1

---

# BiPtRhO4, optimized geometry, DFT PBE-GGA
# Uncorrected formation energy in meV per atom: -503
data_BiPtRhO4
_cell_length_a 7.1964
_cell_length_b 7.1964
_cell_length_c 7.1964
_cell_angle_alpha 134.27
_cell_angle_beta 130.85
_cell_angle_gamma 69.38
_space_group_name_H-M_alt 'P 1'
_space_group_IT_number 1
_space_group_name_Hall 'P 1'
loop_
_atom_site_label
_atom_site_type_symbol
_atom_site_fract_x
_atom_site_fract_y
_atom_site_fract_z
_atom_site_occupancy
Bi1 Bi 0.4083 0.1583 0.2500 1
Bi2 Bi 0.5917 0.8417 0.7500 1
Pt1 Pt 0.0000 0.5000 0.5000 1
Pt2 Pt 0.5000 0.5000 0.0000 1
Rh1 Rh 0.0000 0.0000 0.5000 1
Rh2 Rh 0.0000 0.5000 0.0000 1
O1 O 0.1467 0.6785 0.4682 1
O2 O 0.2649 0.2718 0.5069 1
O3 O 0.2649 0.7580 0.9931 1
O4 O 0.2898 0.3215 0.9682 1
O5 O 0.7102 0.6785 0.0318 1
O6 O 0.7351 0.2420 0.0069 1
O7 O 0.7351 0.7282 0.4931 1
O8 O 0.8533 0.3215 0.5317 1

---

# BiSbPtO2, optimized geometry, DFT PBE-GGA
# Uncorrected formation energy in meV per atom: -242
data_BiSbPtO2
_cell_length_a 3.9473
_cell_length_b 3.9473
_cell_length_c 6.6284
_cell_angle_alpha 90.00
_cell_angle_beta 90.00
_cell_angle_gamma 90.00
_space_group_name_H-M_alt 'P 1'
_space_group_IT_number 1
_space_group_name_Hall 'P 1'
loop_
_atom_site_label
_atom_site_type_symbol
_atom_site_fract_x
_atom_site_fract_y
_atom_site_fract_z
_atom_site_occupancy
Bi1 Bi 0.0000 0.0000 0.0000 1
Sb1 Sb 0.0000 0.0000 0.5000 1
Pt1 Pt 0.5000 0.5000 0.0000 1
O1 O 0.0000 0.5000 0.5000 1
O2 O 0.5000 0.0000 0.5000 1

---

# BiSbPt2O, optimized geometry, DFT PBE-GGA
# Uncorrected formation energy in meV per atom: 431
# Energy above the lowest structure with this stoichiometry in eV/atom: 0.000
data_BiSbPt2O
_cell_length_a 5.2122
_cell_length_b 5.2122
_cell_length_c 4.1542
_cell_angle_alpha 90.00
_cell_angle_beta 90.00
_cell_angle_gamma 90.00
_space_group_name_H-M_alt 'P 1'
_space_group_IT_number 1
_space_group_name_Hall 'P 1'
loop_
_atom_site_label
_atom_site_type_symbol
_atom_site_fract_x
_atom_site_fract_y
_atom_site_fract_z
_atom_site_occupancy
Bi1 Bi 0.0000 0.0000 0.0000 1
Sb1 Sb 0.5000 0.5000 0.5000 1
Pt1 Pt 0.0000 0.5000 0.0000 1
Pt2 Pt 0.5000 0.0000 0.0000 1
O1 O 0.0000 0.0000 0.5000 1

---

# BiSbPt2O, optimized geometry, DFT PBE-GGA
# Uncorrected formation energy in meV per atom: 1548
# Energy above the lowest structure with this stoichiometry in eV/atom: 1.117
data_BiSbPt2O
_cell_length_a 5.0729
_cell_length_b 5.0729
_cell_length_c 5.9477
_cell_angle_alpha 90.00
_cell_angle_beta 90.00
_cell_angle_gamma 90.00
_space_group_name_H-M_alt 'P 1'
_space_group_IT_number 1
_space_group_name_Hall 'P 1'
loop_
_atom_site_label
_atom_site_type_symbol
_atom_site_fract_x
_atom_site_fract_y
_atom_site_fract_z
_atom_site_occupancy
Bi1 Bi 0.0000 0.0000 0.0000 1
Sb1 Sb 0.0000 0.0000 0.5000 1
Pt1 Pt 0.0000 0.5000 0.0000 1
Pt2 Pt 0.5000 0.0000 0.0000 1
O1 O 0.5000 0.5000 0.5000 1

---

# ScBi2PtO6, optimized geometry, DFT PBE-GGA
# Uncorrected formation energy in meV per atom: -1477
data_ScBi2PtO6
_cell_length_a 5.6118
_cell_length_b 5.8072
_cell_length_c 5.8424
_cell_angle_alpha 119.04
_cell_angle_beta 117.21
_cell_angle_gamma 90.24
_space_group_name_H-M_alt 'P 1'
_space_group_IT_number 1
_space_group_name_Hall 'P 1'
loop_
_atom_site_label
_atom_site_type_symbol
_atom_site_fract_x
_atom_site_fract_y
_atom_site_fract_z
_atom_site_occupancy
Sc1 Sc 0.0000 0.0000 0.0000 1
Bi1 Bi 0.2744 0.8352 0.5553 1
Bi2 Bi 0.7904 0.3483 0.5684 1
Pt1 Pt 0.4938 0.4769 0.9809 1
O1 O 0.1338 0.1694 0.4555 1
O2 O 0.1943 0.6735 0.0203 1
O3 O 0.3356 0.1915 0.0288 1
O4 O 0.6433 0.6993 0.8594 1
O5 O 0.7352 0.2213 0.8852 1
O6 O 0.8647 0.7064 0.5169 1

---

# SmBiPtO6, optimized geometry, DFT PBE-GGA
# Uncorrected formation energy in meV per atom: -1355
data_SmBiPtO6
_cell_length_a 5.6299
_cell_length_b 5.6299
_cell_length_c 9.2729
_cell_angle_alpha 90.00
_cell_angle_beta 90.00
_cell_angle_gamma 120.00
_space_group_name_H-M_alt 'P 1'
_space_group_IT_number 1
_space_group_name_Hall 'P 1'
loop_
_atom_site_label
_atom_site_type_symbol
_atom_site_fract_x
_atom_site_fract_y
_atom_site_fract_z
_atom_site_occupancy
Sm1 Sm 0.3333 0.6667 0.2500 1
Sm2 Sm 0.6667 0.3333 0.7500 1
Bi1 Bi 0.0000 0.0000 0.0000 1
Bi2 Bi 0.0000 0.0000 0.5000 1
Pt1 Pt 0.3333 0.6667 0.7500 1
Pt2 Pt 0.6667 0.3333 0.2500 1
O1 O 0.0402 0.3672 0.6275 1
O2 O 0.0402 0.6730 0.8725 1
O3 O 0.3270 0.3672 0.8725 1
O4 O 0.3270 0.9598 0.6275 1
O5 O 0.3672 0.0402 0.1275 1
O6 O 0.3672 0.3270 0.3725 1
O7 O 0.6328 0.6730 0.6275 1
O8 O 0.6328 0.9598 0.8725 1
O9 O 0.6730 0.0402 0.3725 1
O10 O 0.6730 0.6328 0.1275 1
O11 O 0.9598 0.3270 0.1275 1
O12 O 0.9598 0.6328 0.3725 1